1.
Entry from OQMD: crystalline LuNbNO at its relaxed geometry (PBE).

Cell: 7.745 6.314 4.570 Å, 90.00 90.00 90.00°
Fractional positions:
1 Lu 0.129 0.068 0.250
2 Lu 0.129 0.432 0.750
3 Lu 0.871 0.568 0.250
4 Lu 0.871 0.932 0.750
5 Nb 0.351 0.615 0.250
6 Nb 0.351 0.885 0.750
7 Nb 0.649 0.115 0.250
8 Nb 0.649 0.385 0.750
9 N 0.143 0.078 0.750
10 N 0.143 0.422 0.250
11 N 0.857 0.578 0.750
12 N 0.857 0.922 0.250
13 O 0.398 0.531 0.750
14 O 0.398 0.969 0.250
15 O 0.602 0.031 0.750
16 O 0.602 0.469 0.250

2.
Entry from OQMD: crystalline SrHf31O64 at its relaxed geometry (PBE).

Cell: 10.066 10.128 10.465 Å, 90.00 89.97 89.87°
Fractional positions:
1 Sr 0.000 0.000 0.000
2 Hf 0.257 0.502 0.245
3 Hf 0.257 0.753 0.527
4 Hf 0.258 0.501 0.742
5 Hf 0.259 0.255 0.526
6 Hf 0.260 0.748 0.028
7 Hf 0.262 0.001 0.249
8 Hf 0.262 0.261 0.025
9 Hf 0.264 0.003 0.742
10 Hf 0.489 0.751 0.277
11 Hf 0.490 0.000 0.994
12 Hf 0.490 0.752 0.777
13 Hf 0.491 0.504 0.494
14 Hf 0.492 0.003 0.495
15 Hf 0.492 0.502 0.993
16 Hf 0.493 0.251 0.777
17 Hf 0.494 0.256 0.278
18 Hf 0.757 0.001 0.246
19 Hf 0.758 0.502 0.242
20 Hf 0.758 0.502 0.744
21 Hf 0.758 0.752 0.026
22 Hf 0.758 0.753 0.528
23 Hf 0.759 0.252 0.527
24 Hf 0.760 0.251 0.025
25 Hf 0.761 0.004 0.745
26 Hf 0.987 0.753 0.276
27 Hf 0.988 0.002 0.494
28 Hf 0.989 0.254 0.276
29 Hf 0.989 0.255 0.775
30 Hf 0.989 0.749 0.775
31 Hf 0.990 0.503 0.493
32 Hf 0.991 0.504 0.993
33 O 0.084 0.559 0.820
34 O 0.088 0.071 0.323
35 O 0.088 0.572 0.326
36 O 0.089 0.317 0.944
37 O 0.090 0.323 0.443
38 O 0.090 0.823 0.441
39 O 0.091 0.788 0.938
40 O 0.098 0.084 0.807
41 O 0.154 0.827 0.190
42 O 0.158 0.824 0.692
43 O 0.159 0.574 0.575
44 O 0.160 0.323 0.194
45 O 0.160 0.324 0.690
46 O 0.162 0.071 0.571
47 O 0.163 0.565 0.076
48 O 0.194 0.080 0.083
49 O 0.351 0.876 0.878
50 O 0.353 0.626 0.394
51 O 0.354 0.127 0.393
52 O 0.354 0.625 0.893
53 O 0.355 0.377 0.378
54 O 0.355 0.875 0.380
55 O 0.356 0.378 0.875
56 O 0.357 0.129 0.893
57 O 0.393 0.876 0.130
58 O 0.394 0.626 0.144
59 O 0.394 0.627 0.643
60 O 0.396 0.128 0.641
61 O 0.396 0.377 0.627
62 O 0.396 0.378 0.128
63 O 0.396 0.877 0.627
64 O 0.406 0.126 0.144
65 O 0.585 0.067 0.824
66 O 0.586 0.819 0.944
67 O 0.589 0.075 0.328
68 O 0.589 0.322 0.944
69 O 0.589 0.571 0.826
70 O 0.589 0.572 0.327
71 O 0.590 0.323 0.444
72 O 0.590 0.823 0.443
73 O 0.651 0.824 0.192
74 O 0.657 0.821 0.692
75 O 0.658 0.325 0.192
76 O 0.659 0.071 0.075
77 O 0.659 0.572 0.577
78 O 0.659 0.573 0.077
79 O 0.660 0.073 0.577
80 O 0.661 0.322 0.694
81 O 0.842 0.136 0.880
82 O 0.846 0.869 0.872
83 O 0.852 0.625 0.892
84 O 0.852 0.878 0.382
85 O 0.853 0.628 0.392
86 O 0.854 0.377 0.377
87 O 0.855 0.127 0.396
88 O 0.855 0.380 0.879
89 O 0.881 0.135 0.155
90 O 0.881 0.868 0.140
91 O 0.893 0.626 0.641
92 O 0.894 0.378 0.626
93 O 0.894 0.877 0.627
94 O 0.896 0.378 0.126
95 O 0.896 0.624 0.142
96 O 0.898 0.127 0.640

3.
Entry from OQMD: crystalline NaGdFeSe3 at its relaxed geometry (PBE).

Cell: 8.188 4.018 9.678 Å, 90.00 103.76 90.00°
Fractional positions:
1 Na 0.225 0.250 0.264
2 Na 0.775 0.750 0.736
3 Gd 0.320 0.750 0.854
4 Gd 0.680 0.250 0.146
5 Fe 0.070 0.250 0.585
6 Fe 0.930 0.750 0.415
7 Se 0.064 0.250 0.834
8 Se 0.233 0.750 0.536
9 Se 0.434 0.750 0.158
10 Se 0.566 0.250 0.842
11 Se 0.767 0.250 0.464
12 Se 0.936 0.750 0.166

Table of E_tot (eV/f.u.), in record order: -34.36, -958.18, -31.60
Table of excess energy over the best structure of this formula in the dataset (meV/atom), in record order: 161, 6, 0